# 1
First-principles (PBE-GGA) data for a relaxed structure of Tb5Ce2Tm12, as listed in the Alexandria database.

The structure belongs to space group C2/m (No. 12); the cell edges are 15.312, 9.119 and 8.510 Å and the angles 90.00°, 92.60° and 90.00°. The inequivalent atoms are Tb at (0.000, 0.000, 0.000), Tb at (0.215, 0.500, 0.536), Tb at (0.231, 0.000, 0.065), Ce at (0.000, 0.350, 0.500), Tm at (0.059, 0.500, 0.842), Tm at (0.068, 0.000, 0.371), Tm at (0.132, 0.309, 0.183) and Tm at (0.145, 0.179, 0.739).

The calculation puts the energy relative to the elements at 260 kJ/mol of formula units. For the energy, the calculation gives -4.526 eV per atom. As for the size of the total moment: 1.1 μB/f.u. For the calculated volume, the calculation gives 1187 Å³ per cell.

# 2
First-principles (PBE-GGA) data for a relaxed structure of Tb3CeTm3, as listed in the Alexandria database.

The structure belongs to space group R-3 (No. 148, hexagonal axes); the cell edges are 6.1108, 6.1108 and 42.4189 Å and the angles 90.00°, 90.00° and 120.00°. The inequivalent atoms are Tb at (0.0001, 0.3323, 0.1324), Ce at (0.0000, 0.0000, 0.3333) and Tm at (0.0002, 0.3333, 0.2672).

The calculation puts the energy relative to the elements at 125 kJ/mol of formula units. For the energy, the calculation gives -4.563 eV per atom. As for the size of the total moment: 1.3 μB/f.u. For the calculated volume, the calculation gives 1372 Å³ per cell.

# 3
First-principles (PBE-GGA) data for a relaxed structure of Tb5CeTm, as listed in the Alexandria database.

The structure belongs to space group Immm (No. 71); the cell edges are 5.688, 8.428 and 11.752 Å and the angles 90.00°, 90.00° and 90.00°. The inequivalent atoms are Tb at (0.000, 0.000, 0.000), Tb at (0.000, 0.182, 0.500), Tb at (0.000, 0.500, 0.258), Ce at (0.000, 0.500, 0.500) and Tm at (0.000, 0.500, 0.000).

The calculation puts the energy relative to the elements at 679 kJ/mol of formula units. For the energy, the calculation gives -3.788 eV per atom. As for the size of the total moment: 0.0 μB/f.u. For the calculated volume, the calculation gives 563 Å³ per cell.

# 4
First-principles (PBE-GGA) data for a relaxed structure of Tb6Ce2Tm5, as listed in the Alexandria database.

The structure belongs to space group Pbam (No. 55); the cell edges are 11.536, 20.077 and 3.557 Å and the angles 90.00°, 90.00° and 90.00°. The inequivalent atoms are Tb at (0.064, 0.074, 0.000), Tb at (0.078, 0.362, 0.000), Tb at (0.178, 0.628, 0.500), Ce at (0.173, 0.780, 0.000), Tm at (0.000, 0.500, 0.500), Tm at (0.087, 0.219, 0.500) and Tm at (0.198, 0.941, 0.500).

The calculation puts the energy relative to the elements at 169 kJ/mol of formula units. For the energy, the calculation gives -4.635 eV per atom. As for the size of the total moment: 1.5 μB/f.u. For the calculated volume, the calculation gives 824 Å³ per cell.

# 5
First-principles (PBE-GGA) data for a relaxed structure of Tb9CeTm2, as listed in the Alexandria database.

The structure belongs to space group P4/mmm (No. 123); the cell edges are 5.014, 5.014 and 15.048 Å and the angles 90.00°, 90.00° and 90.00°. The inequivalent atoms are Tb at (0.000, 0.000, 0.000), Tb at (0.000, 0.000, 0.336), Tb at (0.000, 0.500, 0.166), Tb at (0.000, 0.500, 0.500), Ce at (0.500, 0.500, 0.000) and Tm at (0.500, 0.500, 0.333).

The calculation puts the energy relative to the elements at 43 kJ/mol of formula units. For the energy, the calculation gives -4.676 eV per atom. As for the size of the total moment: 1.0 μB/f.u. For the calculated volume, the calculation gives 378 Å³ per cell.

# 6
First-principles (PBE-GGA) data for a relaxed structure of TbCeTm3, as listed in the Alexandria database.

The structure belongs to space group C2/m (No. 12); the cell edges are 5.404, 11.358 and 10.983 Å and the angles 90.00°, 90.09° and 90.00°. The inequivalent atoms are Tb at (0.000, 0.155, 0.000), Ce at (0.000, 0.132, 0.500), Tm at (0.001, 0.000, 0.754) and Tm at (0.001, 0.337, 0.737).

The calculation puts the energy relative to the elements at 203 kJ/mol of formula units. For the energy, the calculation gives -4.375 eV per atom. As for the size of the total moment: 1.3 μB/f.u. For the calculated volume, the calculation gives 674 Å³ per cell.

# 7
First-principles (PBE-GGA) data for a relaxed structure of Tb5CeTm8, as listed in the Alexandria database.

The structure belongs to space group I-4 (No. 82); the cell edges are 9.410, 9.410 and 10.067 Å and the angles 90.00°, 90.00° and 90.00°. The inequivalent atoms are Tb at (0.000, 0.000, 0.000), Tb at (0.112, 0.212, 0.422), Ce at (0.000, 0.500, 0.750), Tm at (0.072, 0.324, 0.096) and Tm at (0.088, 0.176, 0.751).

The calculation puts the energy relative to the elements at 363 kJ/mol of formula units. For the energy, the calculation gives -4.364 eV per atom. As for the size of the total moment: 1.7 μB/f.u. For the calculated volume, the calculation gives 891 Å³ per cell.

# 8
First-principles (PBE-GGA) data for a relaxed structure of Tb8Ce2Tm3, as listed in the Alexandria database.

The structure belongs to space group C2/m (No. 12); the cell edges are 20.676, 4.984 and 7.901 Å and the angles 90.00°, 94.53° and 90.00°. The inequivalent atoms are Tb at (0.076, 0.000, 0.116), Tb at (0.116, 0.500, 0.423), Tb at (0.154, 0.000, 0.730), Tb at (0.193, 0.500, 0.041), Ce at (0.231, 0.000, 0.354), Tm at (0.000, 0.000, 0.500) and Tm at (0.038, 0.500, 0.807).

The calculation puts the energy relative to the elements at 60 kJ/mol of formula units. For the energy, the calculation gives -4.746 eV per atom. As for the size of the total moment: 1.6 μB/f.u. For the calculated volume, the calculation gives 812 Å³ per cell.